# 1
Computed, not measured: a geometry-optimized ZnPd3Pt2 structure at the PBE level of DFT.

Lattice parameters (Å, degrees): 7.280 7.280 5.183 90.00 90.00 136.01
Fractional coordinates of all 12 atoms:
Zn  0.152  0.848  0.750
Zn  0.848  0.152  0.250
Pd  0.069  0.429  0.750
Pd  0.350  0.650  0.250
Pd  0.429  0.069  0.250
Pd  0.571  0.931  0.750
Pd  0.650  0.350  0.750
Pd  0.931  0.571  0.250
Pt  0.247  0.247  0.000
Pt  0.247  0.247  0.500
Pt  0.753  0.753  0.000
Pt  0.753  0.753  0.500

Calculated values
DFT total energy	-4.900	eV/atom

=====

# 2
Computed, not measured: a geometry-optimized CsK2Mg2 structure at the PBE level of DFT.

Lattice parameters (Å, degrees): 11.242 11.242 4.118 90.00 90.00 90.00
Fractional coordinates of all 10 atoms:
Cs  0.000  0.000  0.000
Cs  0.500  0.500  0.000
K  0.128  0.372  0.000
K  0.372  0.872  0.000
K  0.628  0.128  0.000
K  0.872  0.628  0.000
Mg  0.167  0.667  0.500
Mg  0.333  0.167  0.500
Mg  0.667  0.833  0.500
Mg  0.833  0.333  0.500

Calculated values
DFT total energy	-1.016	eV/atom

=====

# 3
Computed, not measured: a geometry-optimized Ti5InCo6 structure at the PBE level of DFT.

Lattice parameters (Å, degrees): 6.729 6.729 6.002 90.00 90.00 143.25
Fractional coordinates of all 12 atoms:
Ti  0.000  0.000  0.000
Ti  0.333  0.667  0.000
Ti  0.336  0.664  0.500
Ti  0.664  0.336  0.500
Ti  0.667  0.333  0.000
In  0.000  0.000  0.500
Co  0.176  0.824  0.245
Co  0.176  0.824  0.755
Co  0.500  0.500  0.228
Co  0.500  0.500  0.772
Co  0.824  0.176  0.245
Co  0.824  0.176  0.755

Calculated values
DFT total energy	-7.417	eV/atom

=====

# 4
Computed, not measured: a geometry-optimized BaCaTc2B structure at the PBE level of DFT.

Lattice parameters (Å, degrees): 4.319 4.319 5.465 90.00 90.00 90.00
Fractional coordinates of all 5 atoms:
Ba  0.000  0.000  0.000
Ca  0.500  0.500  0.000
Tc  0.000  0.500  0.500
Tc  0.500  0.000  0.500
B  0.000  0.000  0.500

Calculated values
DFT total energy	-5.571	eV/atom

=====

For each record above, in turn, the calculated ΔE_f values are -7.5, 22.3, -33.4, 67.1 kJ per mole of atoms.